Compound: BaZr2MoO8
Source: Alexandria
Functional: GGA+U
Structure: optimized geometry

Computed properties:
- calculated density (Mg/m³) = 4.68
- size of the total moment (μB per formula unit) = 0.0
- raw total energy (eV/atom) = -8.049

Cell lengths 5.244, 5.244, 7.306 Å; angles 81.53, 81.53, 78.04 degrees
Fractional coordinates of all 12 atoms:
Ba (0.000, 0.000, 0.500)
Zr (0.446, 0.446, 0.730)
Zr (0.554, 0.554, 0.270)
Mo (0.000, 0.000, 0.000)
O (0.215, 0.792, 0.191)
O (0.764, 0.764, 0.059)
O (0.792, 0.215, 0.191)
O (0.785, 0.208, 0.809)
O (0.236, 0.236, 0.941)
O (0.208, 0.785, 0.809)
O (0.660, 0.661, 0.494)
O (0.340, 0.339, 0.506)